# NaPrZrFeO6 | Alexandria | GGA+U | optimized geometry
data_NaPrZrFeO6
_chemical_formula_sum 'Na1 Pr1 Zr1 Fe1 O6'
_symmetry_space_group_name_H-M 'P 1'
_symmetry_Int_Tables_number 1
_cell_length_a 5.649
_cell_length_b 5.649
_cell_length_c 5.649
_cell_angle_alpha 60.00
_cell_angle_beta 60.00
_cell_angle_gamma 60.00
loop_
_symmetry_equiv_pos_as_xyz
'x,y,z'
loop_
_atom_site_label
_atom_site_fract_x
_atom_site_fract_y
_atom_site_fract_z
Na1 0.000 0.000 0.000
Pr1 0.500 0.500 0.500
Zr1 0.250 0.250 0.250
Fe1 0.750 0.750 0.750
O1 0.508 0.508 0.992
O2 0.508 0.992 0.508
O3 0.508 0.992 0.992
O4 0.992 0.508 0.508
O5 0.992 0.508 0.992
O6 0.992 0.992 0.508
# - SG = F-43m (216)
# - total DFT energy (no corrections) (eV/cell) = -73.15